1.
Here is crystalline Ca2ZrRuO6 at its relaxed geometry from Alexandria. Energies are from GGA-PBE.

abc: 5.541 5.708 9.640
angles: 90.00 124.61 90.00
Positions (direct):
Ca 0.235 0.053 0.249
Ca 0.235 0.447 0.749
Ca 0.765 0.553 0.251
Ca 0.765 0.947 0.751
Zr 0.500 0.000 0.000
Zr 0.500 0.500 0.500
Ru 0.000 0.000 0.500
Ru 0.000 0.500 0.000
O 0.143 0.209 0.949
O 0.143 0.291 0.449
O 0.242 0.699 0.949
O 0.242 0.801 0.449
O 0.341 0.032 0.744
O 0.341 0.468 0.244
O 0.659 0.532 0.756
O 0.659 0.968 0.256
O 0.758 0.199 0.551
O 0.758 0.301 0.051
O 0.857 0.709 0.551
O 0.857 0.791 0.051

Output
Formation energy from raw total energies (eV/atom): -2.51

2.
Here is crystalline Sr2ZnIn7 at its relaxed geometry from Alexandria. Energies are from GGA-PBE.

abc: 4.813 4.813 12.402
angles: 90.00 90.00 90.00
Positions (direct):
Sr 0.000 0.500 0.237
Sr 0.500 0.000 0.763
Zn 0.500 0.500 0.000
In 0.000 0.000 0.000
In 0.000 0.000 0.500
In 0.000 0.500 0.643
In 0.000 0.500 0.871
In 0.500 0.000 0.129
In 0.500 0.000 0.357
In 0.500 0.500 0.500

Output
Formation energy from the elements (meV/atom): -257.5

3.
Here is crystalline ReAsBr at its relaxed geometry from Alexandria. Energies are from GGA-PBE.

abc: 7.438 7.438 7.438
angles: 155.15 155.15 35.43
Positions (direct):
Re 0.000 0.000 0.000
As 0.581 0.581 0.000
Br 0.831 0.831 0.000

Output
Formation energy from raw total energies (eV/atom): 0.39